1.
VASP calculation (GGA-PBEsol) on crystalline SiHg2Cl at its relaxed geometry.

Cell and atoms, written as POSCAR:
```
SiHg2Cl
1.0
3.100 0.000 0.000
-1.550 4.929 -0.026
0.000 -2.489 6.023
Hg Cl Si
2 1 1
Cartesian
1.550 2.761 1.413
0.000 0.440 0.059
0.000 0.402 3.769
0.000 2.521 3.742
```

Results
Its energy relative to the elements, uncorrected is -0.05 eV per atom. Its excess energy over the best structure of this formula in the dataset is 0.0 kJ per mole of atoms. As for the space group: Cm (8).



2.
VASP calculation (GGA-PBEsol) on crystalline SiHg4Cl at its relaxed geometry.

Cell and atoms, written as POSCAR:
```
SiHg4Cl
1.0
-2.686 4.958 -1.357
-3.523 0.224 -4.601
-5.728 0.496 0.756
Hg Si Cl
4 1 1
Cartesian
-6.238 2.241 -4.251
-4.477 2.129 -1.951
-7.341 2.377 -1.573
-5.819 4.608 -2.629
-8.953 4.258 -3.901
0.000 0.000 0.000
```

Results
Its energy relative to the elements, uncorrected is 0.29 eV per atom. As for the space group: F-43m (216).



3.
VASP calculation (GGA-PBEsol) on crystalline Si2HgCl at its relaxed geometry.

Cell and atoms, written as POSCAR:
```
Si2HgCl
1.0
2.833 0.000 0.000
0.000 4.707 0.000
0.000 0.000 5.656
Hg Si Cl
1 2 1
Cartesian
1.417 2.354 2.828
0.000 0.000 4.317
0.000 0.000 1.339
1.417 2.354 0.000
```

Results
Its energy relative to the elements, uncorrected is 0.44 eV per atom. Its excess energy over the best structure of this formula in the dataset is 0.0 kJ per mole of atoms. As for the space group: Pmmm (47).



4.
VASP calculation (GGA-PBEsol) on crystalline Sr2HgCl at its relaxed geometry.

Cell and atoms, written as POSCAR:
```
Sr2HgCl
1.0
5.638 0.000 0.000
2.819 4.882 0.000
2.819 1.627 4.603
Sr Hg Cl
2 1 1
Cartesian
8.456 4.882 3.452
0.000 0.000 0.000
2.819 1.627 1.151
5.638 3.255 2.302
```

Results
Its energy relative to the elements, uncorrected is -0.39 eV per atom. Its excess energy over the best structure of this formula in the dataset is 69.1 kJ per mole of atoms. As for the space group: F-43m (216).



5.
VASP calculation (GGA-PBEsol) on crystalline Sr2HgCl at its relaxed geometry.

Cell and atoms, written as POSCAR:
```
Sr2HgCl
1.0
-5.402 -1.104 0.716
-2.003 -5.028 -1.272
-1.619 -3.453 4.045
Hg Sr Cl
1 2 1
Cartesian
-4.512 -4.792 1.745
-2.256 -2.396 0.872
-6.767 -7.188 2.617
0.000 0.000 0.000
```

Results
Its energy relative to the elements, uncorrected is -0.89 eV per atom. Its excess energy over the best structure of this formula in the dataset is 20.6 kJ per mole of atoms. As for the space group: Fm-3m (225).



6.
VASP calculation (GGA-PBEsol) on crystalline Sr3HgCl at its relaxed geometry.

Cell and atoms, written as POSCAR:
```
Sr3HgCl
1.0
5.616 0.000 0.000
0.000 5.616 0.000
0.000 0.000 5.616
Sr Cl Hg
3 1 1
Cartesian
2.808 0.000 0.000
0.000 0.000 2.808
0.000 2.808 0.000
0.000 0.000 0.000
2.808 2.808 2.808
```

Results
Its energy relative to the elements, uncorrected is -0.64 eV per atom. Its excess energy over the best structure of this formula in the dataset is 0.0 kJ per mole of atoms. As for the space group: Pm-3m (221).



7.
VASP calculation (GGA-PBEsol) on crystalline Sr2HgCl at its relaxed geometry.

Cell and atoms, written as POSCAR:
```
Sr2HgCl
1.0
4.444 0.000 0.000
0.000 4.444 0.000
0.000 0.000 6.501
Sr Hg Cl
2 1 1
Cartesian
2.222 2.222 0.000
0.000 0.000 3.251
2.222 2.222 3.251
0.000 0.000 0.000
```

Results
Its energy relative to the elements, uncorrected is -1.10 eV per atom. Its excess energy over the best structure of this formula in the dataset is 0.0 kJ per mole of atoms. As for the space group: P4/mmm (123).



8.
VASP calculation (GGA-PBEsol) on crystalline Ta2HgCl at its relaxed geometry.

Cell and atoms, written as POSCAR:
```
Ta2HgCl
1.0
-2.484 -0.601 -1.342
0.240 -2.764 0.794
-4.872 1.922 8.160
Hg Ta Cl
1 2 1
Cartesian
-4.990 -0.157 6.205
-2.360 -1.195 1.799
-0.133 0.053 0.223
-2.069 0.816 3.465
```

Results
Its energy relative to the elements, uncorrected is -0.03 eV per atom. As for the space group: P4mm (99).